[1]
Below is ScZn2Si after structural relaxation, with properties calculated at the PBE-GGA level.

abc: 4.5329 4.5329 4.5329
angles: 60.00 60.00 60.00
Fractional positions:
Sc: 0.0000 0.0000 0.0000
Zn: 0.5000 0.5000 0.5000
Zn: 0.7500 0.7500 0.7500
Si: 0.2500 0.2500 0.2500

Output
- Crystal system: cubic
- Space group: F-43m

[2]
Below is Sc2ZnSi2 after structural relaxation, with properties calculated at the PBE-GGA level.

abc: 6.5663 6.5663 4.0070
angles: 90.00 90.00 90.00
Fractional positions:
Sc: 0.1747 0.3253 0.0000
Sc: 0.3253 0.8253 0.0000
Sc: 0.6747 0.1747 0.0000
Sc: 0.8253 0.6747 0.0000
Zn: 0.0000 0.0000 0.5000
Zn: 0.5000 0.5000 0.5000
Si: 0.1256 0.6256 0.5000
Si: 0.3744 0.1256 0.5000
Si: 0.6256 0.8744 0.5000
Si: 0.8744 0.3744 0.5000

Output
- Crystal system: tetragonal
- Space group: P4/mbm

[3]
Below is Sc2Zn2Si after structural relaxation, with properties calculated at the PBE-GGA level.

abc: 6.9431 6.9431 6.9431
angles: 148.88 148.88 44.59
Fractional positions:
Sc: 0.0939 0.0939 0.0000
Sc: 0.9061 0.9061 0.0000
Zn: 0.2500 0.7500 0.5000
Zn: 0.7500 0.2500 0.5000
Si: 0.5000 0.5000 0.0000

Output
- Crystal system: tetragonal
- Space group: I4/mmm

[4]
Below is ScZn2Si after structural relaxation, with properties calculated at the PBE-GGA level.

abc: 4.5329 4.5329 4.5329
angles: 60.00 60.00 60.00
Fractional positions:
Sc: 0.0000 0.0000 0.0000
Zn: 0.2500 0.2500 0.2500
Zn: 0.5000 0.5000 0.5000
Si: 0.7500 0.7500 0.7500

Output
- Crystal system: cubic
- Space group: F-43m

[5]
Below is Sc2Zn3Si5 after structural relaxation, with properties calculated at the PBE-GGA level.

abc: 7.8928 7.8928 5.6915
angles: 99.68 99.68 95.11
Fractional positions:
Sc: 0.1176 0.3570 0.1935
Sc: 0.3570 0.1176 0.6935
Sc: 0.6430 0.8824 0.3065
Sc: 0.8824 0.6430 0.8065
Zn: 0.0125 0.9875 0.2500
Zn: 0.2634 0.5266 0.8402
Zn: 0.4734 0.7366 0.6597
Zn: 0.5266 0.2634 0.3402
Zn: 0.7366 0.4734 0.1598
Zn: 0.9875 0.0125 0.7500
Si: 0.0416 0.3001 0.6433
Si: 0.1921 0.8079 0.7500
Si: 0.2406 0.7594 0.2500
Si: 0.3001 0.0416 0.1433
Si: 0.4485 0.5515 0.2500
Si: 0.5515 0.4485 0.7500
Si: 0.6999 0.9584 0.8567
Si: 0.7594 0.2406 0.7500
Si: 0.8079 0.1921 0.2500
Si: 0.9584 0.6999 0.3567

Output
- Crystal system: monoclinic
- Space group: C2/c

[6]
Below is Sc2Zn2Si3 after structural relaxation, with properties calculated at the PBE-GGA level.

abc: 8.9387 8.9387 8.9387
angles: 26.68 26.68 26.68
Fractional positions:
Sc: 0.0000 0.0000 0.0000
Sc: 0.4953 0.4953 0.4953
Zn: 0.2362 0.2362 0.2362
Zn: 0.7489 0.7489 0.7489
Si: 0.3918 0.3918 0.3918
Si: 0.6045 0.6045 0.6045
Si: 0.8883 0.8883 0.8883

Output
- Crystal system: trigonal
- Space group: R3m

[7]
Below is SmSc2 after structural relaxation, with properties calculated at the PBE-GGA level.

abc: 3.3889 3.3889 8.1672
angles: 102.16 102.16 60.43
Fractional positions:
Sm: 0.0000 0.0000 0.0000
Sc: 0.2226 0.2226 0.6562
Sc: 0.7774 0.7774 0.3438

Output
- Crystal system: monoclinic
- E above lowest polymorph: 0 meV per atom
- E_form: 0.0390 eV/atom
- Space group: C2/m

[8]
Below is SmSc2 after structural relaxation, with properties calculated at the PBE-GGA level.

abc: 4.5222 4.5222 8.1141
angles: 90.00 90.00 90.00
Fractional positions:
Sm: 0.2500 0.2500 0.1878
Sm: 0.7500 0.7500 0.8122
Sc: 0.2500 0.2500 0.7858
Sc: 0.2500 0.7500 0.5000
Sc: 0.7500 0.2500 0.5000
Sc: 0.7500 0.7500 0.2142

Output
- Crystal system: tetragonal
- E above lowest polymorph: 193 meV per atom
- E_form: 0.2324 eV/atom
- Space group: P4/nmm

[9]
Below is Sm2Sc after structural relaxation, with properties calculated at the PBE-GGA level.

abc: 8.5619 8.5619 8.5619
angles: 60.00 60.00 60.00
Fractional positions:
Sm: 0.0000 0.0000 0.0000
Sm: 0.0000 0.0000 0.5000
Sm: 0.0000 0.5000 0.0000
Sm: 0.5000 0.0000 0.0000
Sc: 0.1250 0.1250 0.1250
Sc: 0.8750 0.8750 0.8750

Output
- Crystal system: cubic
- E above lowest polymorph: 1907 meV per atom
- E_form: 2.2628 eV/atom
- Space group: Fd-3m

[10]
Below is SmSc2 after structural relaxation, with properties calculated at the PBE-GGA level.

abc: 8.2338 8.2338 8.2338
angles: 60.00 60.00 60.00
Fractional positions:
Sm: 0.1250 0.1250 0.1250
Sm: 0.8750 0.8750 0.8750
Sc: 0.0000 0.0000 0.0000
Sc: 0.0000 0.0000 0.5000
Sc: 0.0000 0.5000 0.0000
Sc: 0.5000 0.0000 0.0000

Output
- Crystal system: cubic
- E above lowest polymorph: 2601 meV per atom
- E_form: 2.6399 eV/atom
- Space group: Fd-3m

[11]
Below is SmScSn after structural relaxation, with properties calculated at the PBE-GGA level.

abc: 4.4641 4.4641 8.2860
angles: 90.00 90.00 90.00
Fractional positions:
Sm: 0.2500 0.2500 0.1526
Sm: 0.7500 0.7500 0.8474
Sc: 0.2500 0.7500 0.5000
Sc: 0.7500 0.2500 0.5000
Sn: 0.2500 0.2500 0.7548
Sn: 0.7500 0.7500 0.2452

Output
- Crystal system: tetragonal
- E above lowest polymorph: 0 meV per atom
- Space group: P4/nmm

[12]
Below is Sm3Sc2Sn3 after structural relaxation, with properties calculated at the PBE-GGA level.

abc: 8.9252 8.9252 6.3551
angles: 90.00 90.00 120.00
Fractional positions:
Sm: 0.0000 0.2413 0.2500
Sm: 0.0000 0.7587 0.7500
Sm: 0.2413 0.0000 0.2500
Sm: 0.2413 0.2413 0.7500
Sm: 0.7587 0.0000 0.7500
Sm: 0.7587 0.7587 0.2500
Sc: 0.3333 0.6667 0.0000
Sc: 0.3333 0.6667 0.5000
Sc: 0.6667 0.3333 0.0000
Sc: 0.6667 0.3333 0.5000
Sn: 0.0000 0.4018 0.7500
Sn: 0.0000 0.5982 0.2500
Sn: 0.4018 0.0000 0.7500
Sn: 0.4018 0.4018 0.2500
Sn: 0.5982 0.0000 0.2500
Sn: 0.5982 0.5982 0.7500

Output
- Crystal system: hexagonal
- Space group: P6_3/mcm

[13]
Below is SmScSn2 after structural relaxation, with properties calculated at the PBE-GGA level.

abc: 3.2680 6.7739 6.7739
angles: 53.76 90.00 90.00
Fractional positions:
Sm: 0.0000 0.0000 0.0000
Sc: 0.0000 0.7246 0.7246
Sn: 0.0000 0.2567 0.2567
Sn: 0.0000 0.4911 0.4911

Output
- Crystal system: orthorhombic
- Space group: Amm2

[14]
Below is SmScSn after structural relaxation, with properties calculated at the PBE-GGA level.

abc: 5.0481 5.0481 5.0481
angles: 60.00 60.00 60.00
Fractional positions:
Sm: 0.0000 0.0000 0.0000
Sc: 0.5000 0.5000 0.5000
Sn: 0.7500 0.7500 0.7500

Output
- Crystal system: cubic
- E above lowest polymorph: 266 meV per atom
- Space group: F-43m

[15]
Below is SmScSn after structural relaxation, with properties calculated at the PBE-GGA level.

abc: 5.1224 5.1224 5.1224
angles: 60.00 60.00 60.00
Fractional positions:
Sm: 0.0000 0.0000 0.0000
Sc: 0.7500 0.7500 0.7500
Sn: 0.2500 0.2500 0.2500

Output
- Crystal system: cubic
- E above lowest polymorph: 871 meV per atom
- Space group: F-43m

[16]
Below is SmScZn2Sn2 after structural relaxation, with properties calculated at the PBE-GGA level.

abc: 4.4609 4.4609 15.6529
angles: 90.00 90.00 120.00
Fractional positions:
Sm: 0.0000 0.0000 0.0000
Sm: 0.0000 0.0000 0.5000
Sc: 0.0000 0.0000 0.2500
Sc: 0.0000 0.0000 0.7500
Zn: 0.3333 0.6667 0.1656
Zn: 0.3333 0.6667 0.3344
Zn: 0.6667 0.3333 0.6656
Zn: 0.6667 0.3333 0.8344
Sn: 0.3333 0.6667 0.6198
Sn: 0.3333 0.6667 0.8802
Sn: 0.6667 0.3333 0.1198
Sn: 0.6667 0.3333 0.3802

Output
- Crystal system: hexagonal
- E above lowest polymorph: 0 meV per atom
- Space group: P6_3/mmc

[17]
Below is SmScZn2Sn2 after structural relaxation, with properties calculated at the PBE-GGA level.

abc: 4.5133 4.5133 15.2041
angles: 90.00 90.00 120.00
Fractional positions:
Sm: 0.0000 0.0000 0.2500
Sm: 0.0000 0.0000 0.7500
Sc: 0.0000 0.0000 0.0000
Sc: 0.0000 0.0000 0.5000
Zn: 0.3333 0.6667 0.1521
Zn: 0.3333 0.6667 0.3479
Zn: 0.6667 0.3333 0.6521
Zn: 0.6667 0.3333 0.8479
Sn: 0.3333 0.6667 0.6046
Sn: 0.3333 0.6667 0.8954
Sn: 0.6667 0.3333 0.1046
Sn: 0.6667 0.3333 0.3954

Output
- Crystal system: hexagonal
- E above lowest polymorph: 25 meV per atom
- Space group: P6_3/mmc

[18]
Below is SrSmSc after structural relaxation, with properties calculated at the PBE-GGA level.

abc: 5.6005 5.6005 5.6005
angles: 60.00 60.00 60.00
Fractional positions:
Sr: 0.0000 0.0000 0.0000
Sm: 0.5000 0.5000 0.5000
Sc: 0.7500 0.7500 0.7500

Output
- Crystal system: cubic
- E above lowest polymorph: 0 meV per atom
- Space group: F-43m

[19]
Below is TbSmSc after structural relaxation, with properties calculated at the PBE-GGA level.

abc: 5.2809 5.2809 5.2809
angles: 60.00 60.00 60.00
Fractional positions:
Tb: 0.0000 0.0000 0.0000
Sm: 0.5000 0.5000 0.5000
Sc: 0.7500 0.7500 0.7500

Output
- Crystal system: cubic
- E above lowest polymorph: 0 meV per atom
- E_form: 0.6742 eV/atom
- Space group: F-43m

[20]
Below is SmScTc after structural relaxation, with properties calculated at the PBE-GGA level.

abc: 4.6560 4.6560 4.6560
angles: 60.00 60.00 60.00
Fractional positions:
Sm: 0.0000 0.0000 0.0000
Sc: 0.7500 0.7500 0.7500
Tc: 0.2500 0.2500 0.2500

Output
- Crystal system: cubic
- E above lowest polymorph: 231 meV per atom
- E_form: 0.9974 eV/atom
- Space group: F-43m

no.,VASP energy (eV per atom),volume (Å³/f.u.),ρ (g cm⁻³)
1,-3.671,65.86,5.1
2,-5.629,86.38,4.1
3,-4.042,89.13,4.6
4,-3.671,65.86,5.1
5,-4.437,171.00,4.1
6,-4.689,126.96,4.0
7,-5.750,79.12,5.0
8,-5.557,82.97,4.8
9,-2.987,221.90,2.6
10,-3.149,197.36,2.0
11,-5.649,82.56,6.3
12,-5.560,219.21,6.8
13,-4.647,120.94,5.9
14,-5.383,90.97,5.7
15,-4.778,95.04,5.5
16,-4.150,134.88,6.9
17,-4.125,134.11,7.0
18,-3.458,124.22,3.8
19,-4.549,104.14,5.6
20,-6.136,71.37,6.8